A plane-wave DFT calculation with PBE was carried out for crystalline InCuSn at its relaxed geometry.

Properties
- DFT total energy: -3.62 eV per atom
- Formation energy: 0.00 eV per atom
- SG: C2/m

The structure in CIF format:
```
data_InCuSn
_chemical_formula_sum 'In2 Cu2 Sn2'
_cell_length_a 4.5539
_cell_length_b 7.8978
_cell_length_c 4.5521
_cell_angle_alpha 73.40
_cell_angle_beta 120.09
_cell_angle_gamma 106.59
_space_group_name_H-M_alt 'P 1'
_space_group_IT_number 1
_space_group_name_Hall 'P 1'
loop_
_atom_site_label
_atom_site_type_symbol
_atom_site_fract_x
_atom_site_fract_y
_atom_site_fract_z
In1 In 0.5858 0.9101 0.2580
Sn1 Sn 0.3353 0.1608 0.5085
Sn2 Sn 0.0904 0.4219 0.7533
In2 In 0.8400 0.6726 0.0038
Cu1 Cu 0.9643 0.0471 0.8794
Cu2 Cu 0.4614 0.5356 0.3823
```